1.
Hf2In3 | PBE | relaxed

The structure belongs to space group P4/m (No. 83); the cell edges are 6.9872, 6.9872 and 4.5050 Å and the angles 90.00°, 90.00° and 90.00°. The distinct sites, in fractional coordinates, are Hf at (0.1192, 0.6983, 0.0000), In at (0.0000, 0.0000, 0.5000), In at (0.1862, 0.3954, 0.5000) and In at (0.5000, 0.5000, 0.0000).

The calculated volume is 21.993 Å³ per atom. The value obtained for the electronic total energy is -5.771 eV per atom. For the calculated formation energy, the calculation gives -0.147 eV per atom. The total moment comes out at 0.0 μB per formula unit. The calculation puts the density of states at the Fermi level at 0.396 states/eV per atom. The value obtained for the calculated density is 10.59 g/cm3.

***

2.
Ni2HNCl | PBE | relaxed

The structure belongs to space group P4/mmm (No. 123); the cell edges are 4.1723, 4.1723 and 3.9681 Å and the angles 90.00°, 90.00° and 90.00°. The distinct sites, in fractional coordinates, are Ni at (0.0000, 0.5000, 0.0000), H at (0.0000, 0.0000, 0.5000), N at (0.5000, 0.5000, 0.5000) and Cl at (0.5000, 0.5000, 0.0000).

The calculated volume is 13.816 Å³ per atom. The value obtained for the electronic total energy is -3.161 eV per atom. The total moment comes out at 2.5 μB per formula unit. The calculation puts the density of states at the Fermi level at 0.614 states/eV per atom. The value obtained for the calculated density is 4.03 g/cm3.

***

3.
CsSi2Au | PBE | relaxed

The structure belongs to space group R-3m (No. 166, hexagonal axes); the cell edges are 4.2542, 4.2542 and 25.4986 Å and the angles 90.00°, 90.00° and 120.00°. The distinct sites, in fractional coordinates, are Cs at (0.0000, 0.0000, 0.0000), Si at (0.0000, 0.0000, 0.1369) and Au at (0.0000, 0.0000, 0.5000).

The calculated volume is 33.304 Å³ per atom. The value obtained for the electronic total energy is -3.517 eV per atom. The formation energy without anion corrections is 22 kJ per mole of atoms. The energy above the lowest structure with this stoichiometry comes out at 18.0 meV/atom. The total moment comes out at 0.0 μB per formula unit. The calculation puts the density of states at the Fermi level at 0.447 states/eV per atom. The value obtained for the calculated density is 4.81 g/cm3.

***

4.
AlGaPb2 | PBE | relaxed

The structure belongs to space group R-3m (No. 166, hexagonal axes); the cell edges are 3.3047, 3.3047 and 33.8852 Å and the angles 90.00°, 90.00° and 120.00°. The distinct sites, in fractional coordinates, are Al at (0.0000, 0.0000, 0.0000), Ga at (0.0000, 0.0000, 0.5000) and Pb at (0.0000, 0.0000, 0.0880).

The calculated volume is 26.707 Å³ per atom. The value obtained for the electronic total energy is -3.291 eV per atom. For the calculated formation energy, the calculation gives 0.255 eV per atom. The energy above the lowest structure with this stoichiometry comes out at 85.0 meV/atom. The total moment comes out at 0.0 μB per formula unit. The calculation puts the density of states at the Fermi level at 0.523 states/eV per atom. The value obtained for the calculated density is 7.94 g/cm3.

***

5.
Ti3MoPd | PBE | relaxed

The structure belongs to space group Cmcm (No. 63); the cell edges are 4.4482, 15.9926 and 4.4471 Å and the angles 90.00°, 90.00° and 90.00°. The distinct sites, in fractional coordinates, are Ti at (0.0000, 0.0532, 0.2500), Ti at (0.0000, 0.2499, 0.2500), Ti at (0.0000, 0.4450, 0.2500), Mo at (0.0000, 0.1513, 0.7500) and Pd at (0.0000, 0.3500, 0.7500).

The calculated volume is 15.818 Å³ per atom. The value obtained for the electronic total energy is -8.266 eV per atom. For the calculated formation energy, the calculation gives -0.324 eV per atom. The energy above the lowest structure with this stoichiometry comes out at 0.0 meV/atom. The total moment comes out at 0.0 μB per formula unit. The calculation puts the density of states at the Fermi level at 0.681 states/eV per atom. The value obtained for the calculated density is 7.26 g/cm3.

***

6.
Co2NiOs | PBE | relaxed

The structure belongs to space group Fm-3m (No. 225); the cell edges are 5.7375, 5.7375 and 5.7375 Å and the angles 90.00°, 90.00° and 90.00°. The distinct sites, in fractional coordinates, are Co at (0.2500, 0.2500, 0.2500), Ni at (0.0000, 0.0000, 0.0000) and Os at (0.0000, 0.0000, 0.5000).

The calculated volume is 11.804 Å³ per atom. The value obtained for the electronic total energy is -7.532 eV per atom. For the calculated formation energy, the calculation gives 0.273 eV per atom. The energy above the lowest structure with this stoichiometry comes out at 161.4 meV/atom. The total moment comes out at 2.3 μB per formula unit. The calculation puts the density of states at the Fermi level at 1.114 states/eV per atom. The value obtained for the calculated density is 12.90 g/cm3.

***

7.
YHo12Tm6 | PBE | relaxed

The structure belongs to space group R-3m (No. 166, hexagonal axes); the cell edges are 14.8986, 14.8986 and 10.0008 Å and the angles 90.00°, 90.00° and 120.00°. The distinct sites, in fractional coordinates, are Y at (0.0000, 0.0000, 0.0000), Ho at (0.0000, 0.3888, 0.5000), Ho at (0.0733, 0.1467, 0.2872) and Tm at (0.0558, 0.5279, 0.2147).

The calculated volume is 33.728 Å³ per atom. The value obtained for the electronic total energy is -4.198 eV per atom. For the calculated formation energy, the calculation gives 0.445 eV per atom. The energy above the lowest structure with this stoichiometry comes out at 283.2 meV/atom. The total moment comes out at 0.0 μB per formula unit. The calculation puts the density of states at the Fermi level at 1.303 states/eV per atom. The value obtained for the calculated density is 7.99 g/cm3.

***

8.
SnSb2O | PBE | relaxed

The structure belongs to space group Fm-3m (No. 225); the cell edges are 6.9885, 6.9885 and 6.9885 Å and the angles 90.00°, 90.00° and 90.00°. The distinct sites, in fractional coordinates, are Sn at (0.0000, 0.0000, 0.0000), Sb at (0.2500, 0.2500, 0.2500) and O at (0.0000, 0.0000, 0.5000).

The calculated volume is 21.332 Å³ per atom. The value obtained for the electronic total energy is -4.074 eV per atom. The formation energy without anion corrections is 22 kJ per mole of atoms. The energy above the lowest structure with this stoichiometry comes out at 423.0 meV/atom. The total moment comes out at 0.0 μB per formula unit. The calculation puts the density of states at the Fermi level at 0.449 states/eV per atom. The value obtained for the calculated density is 7.36 g/cm3.